# 1
{"formula": "LiCeGaBr6", "functional": "GGA-PBE", "state": "relaxed", "cell": [[7.125, 0.000, 0.000], [-3.562, 6.170, 0.000], [0.000, 0.000, 13.547]], "species": ["Li", "Li", "Ce", "Ce", "Ga", "Ga", "Br", "Br", "Br", "Br", "Br", "Br", "Br", "Br", "Br", "Br", "Br", "Br"], "frac_coords": [[0.333, 0.667, 0.250], [0.667, 0.333, 0.750], [0.333, 0.667, 0.750], [0.667, 0.333, 0.250], [0.000, 0.000, 0.000], [0.000, 0.000, 0.500], [0.003, 0.356, 0.133], [0.003, 0.647, 0.367], [0.353, 0.356, 0.367], [0.353, 0.997, 0.133], [0.356, 0.003, 0.633], [0.356, 0.353, 0.867], [0.644, 0.647, 0.133], [0.644, 0.997, 0.367], [0.647, 0.003, 0.867], [0.647, 0.644, 0.633], [0.997, 0.353, 0.633], [0.997, 0.644, 0.867]], "e_form_raw_ev_per_fu": -12.1, "energy_ry_per_atom": -0.2694, "rho_g_cm3": 3.88}

# 2
{"formula": "CaPaI2", "functional": "GGA-PBE", "state": "relaxed", "cell": [[3.873, 0.000, 0.000], [-1.936, 3.354, 0.000], [0.000, 0.000, 32.030]], "species": ["Ca", "Ca", "Ca", "Pa", "Pa", "Pa", "I", "I", "I", "I", "I", "I"], "frac_coords": [[0.000, 0.000, 0.000], [0.333, 0.667, 0.667], [0.667, 0.333, 0.333], [0.000, 0.000, 0.500], [0.333, 0.667, 0.167], [0.667, 0.333, 0.833], [0.000, 0.000, 0.400], [0.000, 0.000, 0.600], [0.333, 0.667, 0.067], [0.333, 0.667, 0.267], [0.667, 0.333, 0.733], [0.667, 0.333, 0.933]], "e_form_raw_ev_per_fu": -1.3, "energy_ry_per_atom": -0.2918, "rho_g_cm3": 6.29}

# 3
{"formula": "NdSm5Te6", "functional": "GGA-PBE", "state": "relaxed", "cell": [[3.853, -6.701, 0.000], [3.853, 6.701, 0.000], [-2.585, 0.000, 7.253]], "species": ["Nd", "Sm", "Sm", "Sm", "Sm", "Sm", "Te", "Te", "Te", "Te", "Te", "Te"], "frac_coords": [[0.000, 0.000, 0.000], [0.163, 0.837, 0.500], [0.334, 0.666, 0.000], [0.500, 0.500, 0.500], [0.666, 0.334, 0.000], [0.837, 0.163, 0.500], [0.084, 0.421, 0.252], [0.253, 0.253, 0.750], [0.421, 0.084, 0.252], [0.579, 0.916, 0.748], [0.747, 0.747, 0.250], [0.916, 0.579, 0.748]], "e_form_raw_ev_per_fu": -16.7, "energy_ry_per_atom": -0.3914, "rho_g_cm3": 7.37}

# 4
{"formula": "MnBeCr2Ru", "functional": "GGA-PBE", "state": "relaxed", "cell": [[3.921, 0.000, 0.000], [0.000, 3.921, 0.000], [0.000, 0.000, 3.824]], "species": ["Mn", "Be", "Cr", "Cr", "Ru"], "frac_coords": [[0.000, 0.000, 0.000], [0.000, 0.000, 0.500], [0.000, 0.500, 0.500], [0.500, 0.000, 0.500], [0.500, 0.500, 0.000]], "energy_ry_per_atom": -0.5542, "rho_g_cm3": 7.60, "formation_enthalpy_0k_ev_per_atom": 0.7433}

# 5
{"formula": "Zn2AsRuRh", "functional": "GGA-PBE", "state": "relaxed", "cell": [[4.605, 0.000, 0.000], [0.000, 4.605, 0.000], [0.000, 0.000, 4.515]], "species": ["Zn", "Zn", "As", "Ru", "Rh"], "frac_coords": [[0.000, 0.500, 0.000], [0.500, 0.000, 0.000], [0.000, 0.000, 0.000], [0.500, 0.500, 0.500], [0.000, 0.000, 0.500]], "energy_ry_per_atom": -0.2811, "rho_g_cm3": 7.10, "formation_enthalpy_0k_ev_per_atom": 0.9405}